# 1
Compound: H2IrN
Source: Alexandria via LeMat-Bulk
Functional: GGA-PBE
Structure: relaxed

Results
energy above the lowest structure with this stoichiometry	514	meV/atom

Cell: 3.391 3.391 3.391 Å, 60.00 60.00 60.00°
Fractional coordinates of all 4 atoms:
H: 0.250 0.250 0.250
H: 0.750 0.750 0.750
Ir: 0.500 0.500 0.500
N: 0.000 0.000 0.000


# 2
Compound: Sr2AgBiH
Source: Alexandria via LeMat-Bulk
Functional: GGA-PBE
Structure: relaxed

Results
uncorrected energy	-3.200	eV/atom

Cell: 5.375 5.375 4.437 Å, 90.00 90.00 90.00°
Fractional coordinates of all 5 atoms:
Sr: 0.000 0.500 0.000
Sr: 0.500 0.000 0.000
Bi: 0.500 0.500 0.500
Ag: 0.000 0.000 0.500
H: 0.000 0.000 0.000


# 3
Compound: Na2PbCl
Source: Alexandria via LeMat-Bulk
Functional: GGA-PBE
Structure: relaxed

Results
energy above the lowest structure with this stoichiometry	0	meV/atom
formation energy from raw total energies	-0.8681	eV/atom

Cell: 3.740 3.740 9.150 Å, 78.21 78.21 60.00°
Fractional coordinates of all 4 atoms:
Pb: 0.500 0.500 0.500
Na: 0.732 0.732 0.804
Na: 0.268 0.268 0.196
Cl: 0.000 0.000 0.000


# 4
Compound: CaBeCrCl2
Source: Alexandria via LeMat-Bulk
Functional: GGA-PBE
Structure: relaxed

Results
formation energy from raw total energies	0.2061	eV/atom

Cell: 4.392 7.452 4.392 Å, 90.00 90.00 90.00°
Site moments in Bohr magnetons follow the coordinates.
Fractional coordinates of all 5 atoms:
Cr: 0.500 0.500 0.500  4.15
Ca: 0.000 0.500 0.000  0.07
Be: 0.000 0.000 0.000  -0.04
Cl: 0.000 0.000 0.500  0.01
Cl: 0.500 0.000 0.000  0.01


# 5
Compound: Ce3DyPd12
Source: Alexandria via LeMat-Bulk
Functional: GGA-PBE
Structure: relaxed

Results
formation energy from the elements	-851	meV/atom

Cell: 4.148 4.148 16.572 Å, 90.00 90.00 90.00°
Site moments in Bohr magnetons follow the coordinates.
Fractional coordinates of all 16 atoms:
Ce: 0.000 0.000 0.247  0.34
Ce: 0.000 0.000 0.500  0.39
Ce: 0.000 0.000 0.753  0.34
Dy: 0.000 0.000 0.000  0.00
Pd: 0.500 0.500 0.000  0.00
Pd: 0.500 0.500 0.250  -0.02
Pd: 0.500 0.500 0.500  -0.02
Pd: 0.500 0.500 0.750  -0.02
Pd: 0.500 0.000 0.125  -0.01
Pd: 0.500 0.000 0.374  -0.02
Pd: 0.500 0.000 0.626  -0.02
Pd: 0.500 0.000 0.875  -0.01
Pd: 0.000 0.500 0.125  -0.01
Pd: 0.000 0.500 0.374  -0.02
Pd: 0.000 0.500 0.626  -0.02
Pd: 0.000 0.500 0.875  -0.01


# 6
Compound: LaFeOs2
Source: Alexandria via LeMat-Bulk
Functional: GGA-PBE
Structure: relaxed

Results
energy above the lowest structure with this stoichiometry	556	meV/atom
formation energy from the elements	629	meV/atom

Cell: 9.760 9.760 9.760 Å, 16.69 16.69 16.69°
Site moments in Bohr magnetons follow the coordinates.
Fractional coordinates of all 4 atoms:
Fe: 0.250 0.250 0.250  -2.47
La: 0.750 0.750 0.750  -0.09
Os: 0.986 0.986 0.986  -0.03
Os: 0.514 0.514 0.514  -0.03


# 7
Compound: NaSi2MoC
Source: Alexandria via LeMat-Bulk
Functional: GGA-PBE
Structure: relaxed

Results
formation energy from raw total energies	1.9900	eV/atom

Cell: 4.702 6.010 4.702 Å, 90.00 90.00 90.00°
Site moments in Bohr magnetons follow the coordinates.
Fractional coordinates of all 5 atoms:
C: 0.500 0.500 0.500  0.98
Na: 0.000 0.500 0.000  0.04
Mo: 0.000 0.000 0.000  1.46
Si: 0.000 0.000 0.500  -0.04
Si: 0.500 0.000 0.000  -0.06


# 8
Compound: Rb2GaHg2Cl4
Source: Alexandria via LeMat-Bulk
Functional: GGA-PBE
Structure: relaxed

Results
formation energy from raw total energies	-1.1329	eV/atom

Cell: 7.031 7.031 7.031 Å, 107.93 110.25 110.25°
Fractional coordinates of all 9 atoms:
Rb: 0.500 0.750 0.250
Rb: 0.500 0.250 0.750
Ga: 0.000 0.000 0.000
Hg: 0.000 0.674 0.674
Hg: 0.000 0.326 0.326
Cl: 0.000 0.769 0.231
Cl: 0.539 0.769 0.769
Cl: 0.000 0.231 0.769
Cl: 0.461 0.231 0.231


# 9
Compound: Dy3Sb2Te
Source: Alexandria via LeMat-Bulk
Functional: GGA-PBE
Structure: relaxed

Results
energy above the lowest structure with this stoichiometry	431	meV/atom
formation energy from raw total energies	-0.7995	eV/atom

Cell: 4.274 8.109 10.024 Å, 90.00 90.00 105.28°
Fractional coordinates of all 12 atoms:
Dy: 0.657 0.314 0.041
Dy: 0.135 0.269 0.750
Dy: 0.657 0.314 0.459
Dy: 0.865 0.731 0.250
Dy: 0.343 0.686 0.959
Dy: 0.343 0.686 0.541
Sb: 0.000 0.000 0.000
Sb: 0.000 0.000 0.500
Sb: 0.503 0.007 0.250
Sb: 0.497 0.993 0.750
Te: 0.226 0.453 0.250
Te: 0.774 0.547 0.750


# 10
Compound: Sm8Tl2Au
Source: Alexandria via LeMat-Bulk
Functional: GGA-PBE
Structure: relaxed

Results
formation energy from the elements	-251	meV/atom

Cell: 5.211 6.897 10.060 Å, 103.43 105.01 90.00°
Fractional coordinates of all 11 atoms:
Sm: 0.409 0.532 0.817
Sm: 0.653 0.992 0.306
Sm: 0.791 0.679 0.581
Sm: 0.984 0.228 0.969
Sm: 0.209 0.321 0.419
Sm: 0.347 0.008 0.694
Sm: 0.591 0.468 0.183
Sm: 0.016 0.772 0.031
Tl: 0.818 0.243 0.636
Tl: 0.182 0.757 0.364
Au: 0.500 0.000 0.000


# 11
Compound: Ce2PrY6Er3
Source: Alexandria via LeMat-Bulk
Functional: GGA-PBE
Structure: relaxed

Results
formation energy from the elements	57	meV/atom

Cell: 6.169 6.169 11.796 Å, 85.00 85.00 120.00°
Site moments in Bohr magnetons follow the coordinates.
Fractional coordinates of all 12 atoms:
Ce: 0.333 0.667 0.000  0.76
Ce: 0.667 0.333 0.000  0.76
Pr: 0.000 0.000 0.000  0.01
Y: 0.916 0.580 0.251  0.01
Y: 0.748 0.748 0.749  0.01
Y: 0.084 0.420 0.749  0.01
Y: 0.580 0.916 0.251  0.01
Y: 0.252 0.252 0.251  0.01
Y: 0.420 0.084 0.749  0.01
Er: 0.166 0.834 0.500  -0.03
Er: 0.834 0.166 0.500  -0.03
Er: 0.500 0.500 0.500  -0.03


# 12
Compound: AcPr3Nd12
Source: Alexandria via LeMat-Bulk
Functional: GGA-PBE
Structure: relaxed

Results
formation energy from the elements	14	meV/atom

Cell: 5.240 5.240 20.951 Å, 90.00 90.00 90.00°
Fractional coordinates of all 16 atoms:
Ac: 0.000 0.000 0.000
Pr: 0.000 0.000 0.252
Pr: 0.000 0.000 0.500
Pr: 0.000 0.000 0.748
Nd: 0.500 0.500 0.000
Nd: 0.500 0.500 0.253
Nd: 0.500 0.500 0.500
Nd: 0.500 0.500 0.747
Nd: 0.500 0.000 0.129
Nd: 0.500 0.000 0.376
Nd: 0.500 0.000 0.624
Nd: 0.500 0.000 0.871
Nd: 0.000 0.500 0.129
Nd: 0.000 0.500 0.376
Nd: 0.000 0.500 0.624
Nd: 0.000 0.500 0.871


# 13
Compound: BaNaPrTl
Source: Alexandria via LeMat-Bulk
Functional: GGA-PBE
Structure: relaxed

Results
formation energy from the elements	-74	meV/atom

Cell: 5.888 5.888 5.888 Å, 60.00 60.00 60.00°
Fractional coordinates of all 4 atoms:
Pr: 0.750 0.750 0.750
Na: 0.000 0.000 0.000
Tl: 0.500 0.500 0.500
Ba: 0.250 0.250 0.250


# 14
Compound: BeAgPt2
Source: Alexandria via LeMat-Bulk
Functional: GGA-PBE
Structure: relaxed

Results
formation energy from the elements	-421	meV/atom

Cell: 2.810 2.801 7.710 Å, 68.75 90.00 90.00°
Fractional coordinates of all 4 atoms:
Be: 0.500 0.750 0.750
Ag: 0.500 0.250 0.250
Pt: 0.000 0.051 0.949
Pt: 0.000 0.449 0.551


# 15
Compound: NaAs2HBr
Source: Alexandria via LeMat-Bulk
Functional: GGA-PBE
Structure: relaxed

Results
energy above the lowest structure with this stoichiometry	1207	meV/atom

Cell: 5.283 5.283 5.520 Å, 90.00 90.00 90.00°
Site moments in Bohr magnetons follow the coordinates.
Fractional coordinates of all 5 atoms:
Na: 0.000 0.000 0.000  0.00
As: 0.000 0.500 0.000  0.35
As: 0.500 0.000 0.000  0.35
Br: 0.000 0.000 0.500  0.09
H: 0.500 0.500 0.500  0.37


# 16
Compound: Y4GaIr
Source: Alexandria via LeMat-Bulk
Functional: GGA-PBE
Structure: relaxed

Results
formation energy from the elements	-463	meV/atom

Cell: 6.983 6.985 8.387 Å, 113.20 113.20 92.93°
Fractional coordinates of all 12 atoms:
Y: 0.976 0.238 0.000
Y: 0.524 0.762 0.999
Y: 0.238 0.476 0.502
Y: 0.762 0.524 0.498
Y: 0.237 0.975 0.499
Y: 0.476 0.238 0.001
Y: 0.763 0.025 0.501
Y: 0.024 0.762 0.000
Ga: 0.375 0.625 0.250
Ga: 0.625 0.375 0.750
Ir: 0.125 0.875 0.750
Ir: 0.875 0.125 0.250


# 17
Compound: ZnBiPdCl2
Source: Alexandria via LeMat-Bulk
Functional: GGA-PBE
Structure: relaxed

Results
formation energy from raw total energies	0.0366	eV/atom

Cell: 4.779 5.313 4.779 Å, 90.00 90.00 90.00°
Fractional coordinates of all 5 atoms:
Zn: 0.000 0.500 0.000
Bi: 0.500 0.500 0.500
Pd: 0.000 0.000 0.000
Cl: 0.000 0.000 0.500
Cl: 0.500 0.000 0.000


# 18
Compound: HfHg3P
Source: Alexandria via LeMat-Bulk
Functional: GGA-PBE
Structure: relaxed

Results
energy above the lowest structure with this stoichiometry	0	meV/atom
formation energy from the elements	829	meV/atom

Cell: 4.997 4.997 4.997 Å, 90.00 90.00 90.00°
Fractional coordinates of all 5 atoms:
P: 0.000 0.000 0.000
Hf: 0.500 0.500 0.500
Hg: 0.000 0.500 0.000
Hg: 0.000 0.000 0.500
Hg: 0.500 0.000 0.000


# 19
Compound: Tb4Mg3Pb
Source: Alexandria via LeMat-Bulk
Functional: GGA-PBE
Structure: relaxed

Results
formation energy from the elements	-188	meV/atom

Cell: 3.840 3.840 15.012 Å, 90.00 90.00 90.00°
Fractional coordinates of all 8 atoms:
Pb: 0.500 0.500 0.000
Mg: 0.500 0.500 0.254
Mg: 0.500 0.500 0.500
Mg: 0.500 0.500 0.746
Tb: 0.000 0.000 0.872
Tb: 0.000 0.000 0.128
Tb: 0.000 0.000 0.375
Tb: 0.000 0.000 0.625


What did we get for ρ? Answer: 12.54; 6.39; 4.45; 1.99; 10.83; 14.28; 2.34; 4.87; 8.51; 8.86; 6.32; 6.87; 5.82; 14.89; 2.73; 6.12; 6.18; 10.80; 6.87 g/cm3, in the order shown.